Compound: SbTe3Ru
Source: the Alexandria database
Functional: PBE-GGA
Structure: relaxed

Output
space-group type	No. 221
crystal system	cubic
relative energy among the computed polymorphs	0.881	eV per atom
magnetic moment	3.25	μB per formula unit
formation energy from raw total energies	1.327	eV/atom

Lattice parameters (Å, degrees): 5.677 5.677 5.677 90.00 90.00 90.00
Positions (direct):
Sb1 0.000 0.000 0.000
Te1 0.000 0.000 0.500
Te2 0.000 0.500 0.000
Te3 0.500 0.000 0.000
Ru1 0.500 0.500 0.500